Compound: MnCrIrO6
Source: Alexandria
Functional: PBE with a Hubbard U
Structure: optimized geometry

Properties
Final energy = -128.527 eV for the cell shown

abc: 5.0607 5.0607 8.9064
angles: 90.00 90.00 120.00
Space group P-31c (No. 163)
Inequivalent atoms, fractional coordinates:
Mn  0.0000  0.0000  0.0000 [2 per cell]
Cr  0.3333  0.6667  0.2500 [2 per cell]
Ir  0.3333  0.6667  0.7500 [2 per cell]
O  0.0044  0.3530  0.6293 [12 per cell]